Entry 1:
The following is a GGA-PBE calculation of Ba2ScTa after structural relaxation, from the Alexandria database.

Calculated values
The value obtained for the formation energy is 0.97 eV/atom. The energy above the most stable polymorph in this dataset comes out at 0.364 eV/atom. The value obtained for the mass density is 6.33 g/cm³.

a = 8.069 Å, b = 8.069 Å, c = 8.069 Å
α = 90.00°, β = 90.00°, γ = 90.00°
Space group F-43m (No. 216)
Symmetry-distinct sites (fractional):
Ba 0.000 0.000 0.000 x4
Ba 0.250 0.250 0.250 x4
Sc 0.000 0.000 0.500 x4
Ta 0.250 0.250 0.750 x4



Entry 2:
The following is a GGA-PBE calculation of ZrPaSe4 after structural relaxation, from the Alexandria database.

Calculated values
The energy above the most stable polymorph in this dataset comes out at 0.105 eV/atom. The value obtained for the mass density is 6.21 g/cm³. Its energy relative to the elements, uncorrected is -1226.0 meV/atom.

a = 7.867 Å, b = 6.351 Å, c = 7.847 Å
α = 90.00°, β = 119.43°, γ = 90.00°
Space group P2_1/c (No. 14)
Symmetry-distinct sites (fractional):
Zr 0.000 0.000 0.000 x2
Pa 0.500 0.000 0.000 x2
Se 0.160 0.243 0.832 x4
Se 0.317 0.747 0.657 x4